Version w
DFT (PBE-GGA) results for an optimized crystal structure of Nd4SmDy2.

Cell: 12.627 12.627 6.857 Å, 97.02 97.02 150.16°
Element x y z (fractional)
1 Nd 0.716 0.179 0.871
2 Nd 0.179 0.716 0.371
3 Nd 0.186 0.794 0.901
4 Nd 0.794 0.186 0.401
5 Nd 0.036 0.144 0.600
6 Nd 0.559 0.596 0.131
7 Nd 0.596 0.559 0.631
8 Nd 0.144 0.036 0.100
9 Sm 0.423 0.673 0.500
10 Sm 0.673 0.423 0.000
11 Dy 0.624 0.305 0.450
12 Dy 0.923 0.105 0.050
13 Dy 0.105 0.923 0.550
14 Dy 0.305 0.624 0.950

Output
- calculated volume (Å³/f.u.) = 239.4


Version x
DFT (PBE-GGA) results for an optimized crystal structure of Nd4SmDy2.

Cell: 6.221 6.684 11.807 Å, 90.00 104.96 90.00°
Element x y z (fractional)
1 Nd 0.647 0.506 0.286
2 Nd 0.022 0.750 0.857
3 Nd 0.978 0.250 0.143
4 Nd 0.647 0.994 0.286
5 Nd 0.850 0.250 0.553
6 Nd 0.353 0.006 0.714
7 Nd 0.353 0.494 0.714
8 Nd 0.150 0.750 0.447
9 Sm 0.154 0.750 0.158
10 Sm 0.846 0.250 0.842
11 Dy 0.601 0.750 0.997
12 Dy 0.399 0.250 0.003
13 Dy 0.290 0.250 0.430
14 Dy 0.710 0.750 0.570

Output
- calculated volume (Å³/f.u.) = 237.2


It is version x that is the least stable of them.


Version w
DFT (PBE-GGA) results for an optimized crystal structure of NdSm2Dy5.

Cell: 9.932 6.492 10.929 Å, 119.38 117.03 90.00°
Element x y z (fractional)
1 Nd 0.000 0.000 0.500
2 Nd 0.500 0.500 0.500
3 Sm 0.177 0.462 0.847
4 Sm 0.670 0.962 0.847
5 Sm 0.823 0.538 0.153
6 Sm 0.330 0.038 0.153
7 Dy 0.492 0.445 0.803
8 Dy 0.943 0.750 0.000
9 Dy 0.057 0.250 0.000
10 Dy 0.893 0.628 0.607
11 Dy 0.107 0.372 0.393
12 Dy 0.714 0.128 0.607
13 Dy 0.286 0.872 0.393
14 Dy 0.508 0.555 0.197
15 Dy 0.311 0.945 0.803
16 Dy 0.689 0.055 0.197

Output
- calculated volume (Å³/f.u.) = 262.0


Version x
DFT (PBE-GGA) results for an optimized crystal structure of NdSm2Dy5.

Cell: 5.056 7.166 14.337 Å, 90.00 90.00 90.00°
Element x y z (fractional)
1 Nd 0.000 0.000 0.500
2 Nd 0.000 0.500 0.000
3 Sm 0.500 0.251 0.626
4 Sm 0.500 0.749 0.374
5 Sm 0.500 0.249 0.126
6 Sm 0.500 0.751 0.874
7 Dy 0.000 0.000 0.000
8 Dy 0.000 0.500 0.500
9 Dy 0.000 0.501 0.749
10 Dy 0.000 0.499 0.251
11 Dy 0.000 0.999 0.249
12 Dy 0.000 0.001 0.751
13 Dy 0.500 0.250 0.874
14 Dy 0.500 0.750 0.126
15 Dy 0.500 0.250 0.374
16 Dy 0.500 0.750 0.626

Output
- calculated volume (Å³/f.u.) = 259.7


It is version w that is the least stable of them.


Version w
DFT (PBE-GGA) results for an optimized crystal structure of Nd3Sm2Dy2.

Cell: 3.628 12.025 6.276 Å, 69.79 73.23 98.76°
Element x y z (fractional)
1 Nd 0.000 0.000 0.000
2 Nd 0.571 0.429 0.286
3 Nd 0.429 0.571 0.714
4 Sm 0.858 0.143 0.427
5 Sm 0.142 0.857 0.573
6 Dy 0.714 0.285 0.858
7 Dy 0.286 0.715 0.142

Output
- calculated volume (Å³/f.u.) = 236.1


Version x
DFT (PBE-GGA) results for an optimized crystal structure of Nd3Sm2Dy2.

Cell: 3.546 8.662 9.046 Å, 118.31 101.30 90.00°
Element x y z (fractional)
1 Nd 0.000 0.500 0.000
2 Nd 0.213 0.798 0.426
3 Nd 0.787 0.202 0.574
4 Sm 0.565 0.911 0.129
5 Sm 0.435 0.089 0.871
6 Dy 0.853 0.671 0.707
7 Dy 0.147 0.329 0.293

Output
- calculated volume (Å³/f.u.) = 238.5


It is version x that is the least stable of them.